A plane-wave DFT calculation with GGA-PBE was carried out for crystalline KTl6Hg4 at its relaxed geometry.

Cell lengths 8.075, 8.075, 8.075 Å; angles 94.70, 117.32, 117.32 degrees
Sites, in units of the cell vectors:
Tl  0.000  0.777  0.493
Tl  0.500  0.000  0.500
Tl  0.717  0.223  0.223
Tl  0.283  0.507  0.507
Tl  0.000  0.493  0.777
Tl  0.500  0.500  0.000
K  0.000  0.000  0.000
Hg  0.461  0.864  0.864
Hg  0.000  0.597  0.136
Hg  0.539  0.403  0.403
Hg  0.000  0.136  0.597

Values from the calculation:
- SG = I-42m, No. 121
- electronic total energy (eV/atom) = -1.47
- spin magnetization (Bohr magnetons per cell) = 0.00
- N(E_F) (states/eV per cell) = 6.2
- density (g cm⁻³) = 8.9